Entry 1:
Density functional theory data (GGA-PBE) for MgOs after structural relaxation.

The structure in CIF format:
```
data_MgOs
_cell_length_a 4.992
_cell_length_b 4.559
_cell_length_c 7.435
_cell_angle_alpha 90.00
_cell_angle_beta 109.56
_cell_angle_gamma 90.00
_symmetry_space_group_name_H-M 'P 1 m 1'
_symmetry_Int_Tables_number 6
_symmetry_space_group_name_Hall 'P -2y'
loop_
_atom_site_label
_atom_site_fract_x
_atom_site_fract_y
_atom_site_fract_z
Mg1 0.000 0.000 0.000
Mg2 0.067 0.500 0.768
Mg3 0.378 0.000 0.756
Mg4 0.675 0.500 0.985
Mg5 0.897 0.500 0.377
Os1 0.151 0.000 0.378
Os2 0.317 0.500 0.194
Os3 0.499 0.500 0.560
Os4 0.575 0.000 0.197
Os5 0.754 0.000 0.556
```

Values from the calculation:
VASP energy: -6.14 eV/atom
Density: 11.2 g/cm³

Entry 2:
Density functional theory data (GGA-PBE) for La3PrAl4 after structural relaxation.

The structure in CIF format:
```
data_La3PrAl4
_cell_length_a 6.096
_cell_length_b 5.766
_cell_length_c 6.105
_cell_angle_alpha 90.00
_cell_angle_beta 101.33
_cell_angle_gamma 90.00
_symmetry_space_group_name_H-M 'P 1 m 1'
_symmetry_Int_Tables_number 6
_symmetry_space_group_name_Hall 'P -2y'
loop_
_atom_site_label
_atom_site_fract_x
_atom_site_fract_y
_atom_site_fract_z
La1 0.000 0.000 0.000
La2 0.316 0.500 0.031
La3 0.670 0.500 0.674
Pr1 0.640 0.000 0.355
Al1 0.157 0.250 0.514
Al2 0.462 0.000 0.817
Al3 0.853 0.500 0.213
```

Values from the calculation:
VASP energy: -4.72 eV/atom
Density: 5.3 g/cm³

Entry 3:
Density functional theory data (GGA-PBE) for DyYGa4Ir2 after structural relaxation.

The structure in CIF format:
```
data_DyYGa4Ir2
_cell_length_a 6.694
_cell_length_b 4.338
_cell_length_c 10.127
_cell_angle_alpha 90.00
_cell_angle_beta 90.00
_cell_angle_gamma 90.00
_symmetry_space_group_name_H-M 'A m m 2'
_symmetry_Int_Tables_number 38
_symmetry_space_group_name_Hall 'A 2 -2'
loop_
_atom_site_label
_atom_site_fract_x
_atom_site_fract_y
_atom_site_fract_z
Dy1 0.000 0.000 0.000
Y1 0.500 0.000 0.169
Ga1 0.196 0.000 0.718
Ga2 0.304 0.000 0.451
Ir1 0.000 0.000 0.288
Ir2 0.500 0.000 0.881
```

Values from the calculation:
VASP energy: -5.86 eV/atom
Density: 10.3 g/cm³

Entry 4:
Density functional theory data (GGA-PBE) for LiAgGePd after structural relaxation.

The structure in CIF format:
```
data_LiAgGePd
_cell_length_a 6.236
_cell_length_b 6.236
_cell_length_c 6.236
_cell_angle_alpha 90.00
_cell_angle_beta 90.00
_cell_angle_gamma 90.00
_symmetry_space_group_name_H-M 'F -4 3 m'
_symmetry_Int_Tables_number 216
_symmetry_space_group_name_Hall 'F -4 2 3'
loop_
_atom_site_label
_atom_site_fract_x
_atom_site_fract_y
_atom_site_fract_z
Li1 0.000 0.000 0.000
Ag1 0.250 0.250 0.250
Ge1 0.000 0.000 0.500
Pd1 0.250 0.250 0.750
```

Values from the calculation:
VASP energy: -3.99 eV/atom
Density: 8.0 g/cm³
E above lowest polymorph: 0 meV/atom